The following is a PBE calculation of a relaxed structure of TaZn3, from the Open Quantum Materials Database.

calculated volume: 124.8 Å³ per cell
size of the total moment: 0.000 μB/f.u.
energy relative to the elements: 91 meV/atom

Cell: 5.6965 5.6888 4.4494 Å, 90.00 90.00 120.05°
Element x y z (fractional)
Ta1 0.0000 0.5000 0.0000
Ta2 0.8334 0.1667 0.5000
Zn1 0.4952 0.0039 0.0000
Zn2 0.3383 0.6627 0.5000
Zn3 0.3177 0.1354 0.5000
Zn4 0.5156 0.5312 0.0000
Zn5 0.8243 0.6626 0.5000
Zn6 0.0090 0.0041 0.0000



The following is a PBE calculation of a relaxed structure of Ta4Zn5, from the Open Quantum Materials Database.

calculated volume: 146.4 Å³ per cell
size of the total moment: 0.015 μB/f.u.
energy relative to the elements: -38 meV/atom

Cell: 6.7275 6.7275 6.7275 Å, 93.80 93.80 150.16°
Element x y z (fractional)
Ta1 0.0000 0.3309 0.3309
Ta2 0.6691 0.0000 0.6691
Ta3 0.3309 0.0000 0.3309
Ta4 0.0000 0.6691 0.6691
Zn1 0.6702 0.3298 0.0000
Zn2 0.0000 0.0000 0.0000
Zn3 0.6702 0.6702 0.3404
Zn4 0.3298 0.6702 0.0000
Zn5 0.3298 0.3298 0.6596



The following is a PBE calculation of a relaxed structure of TaZn, from the Open Quantum Materials Database.

calculated volume: 198.1 Å³ per cell
size of the total moment: 0.001 μB/f.u.
energy relative to the elements: 134 meV/atom

Cell: 4.8687 8.7086 4.6726 Å, 90.00 90.00 90.00°
Element x y z (fractional)
Ta1 0.0054 0.9918 0.0000
Ta2 0.8107 0.4966 0.5000
Ta3 0.5054 0.1749 0.0000
Ta4 0.8667 0.1646 0.5000
Ta5 0.3107 0.6700 0.5000
Ta6 0.3667 0.0021 0.5000
Zn1 0.4897 0.5097 0.0000
Zn2 0.4986 0.8209 0.0000
Zn3 0.9897 0.6569 0.0000
Zn4 0.3289 0.3450 0.5000
Zn5 0.8289 0.8217 0.5000
Zn6 0.9986 0.3458 0.0000